w) Li2FeP2O7: relaxed, GGA+U.

Its theoretical density is 2.70 g/cm3.

a = 5.0791 Å, b = 5.1291 Å, c = 13.5639 Å
α = 79.39°, β = 79.34°, γ = 60.40°
Space group P-1 (No. 2)
Asymmetric unit:
1 Li 0.1264 0.1363 0.1033 x2
2 Li 0.3641 0.3655 0.3966 x2
3 Fe 0.0000 0.0000 0.5000 x1
4 Fe 0.5000 0.5000 0.0000 x1
5 P 0.2099 0.2088 0.8702 x2
6 P 0.2901 0.2903 0.6298 x2
7 O 0.0267 0.2813 0.5928 x2
8 O 0.0987 0.7829 0.0932 x2
9 O 0.2252 0.4738 0.9012 x2
10 O 0.2295 0.2516 0.7500 x2
11 O 0.2846 0.5956 0.5989 x2
12 O 0.3992 0.9755 0.4001 x2
13 O 0.4789 0.9032 0.9006 x2

=====

x) Li2FeP2O7: relaxed, GGA+U.

Its theoretical density is 2.83 g/cm3.

a = 5.1901 Å, b = 7.3169 Å, c = 8.4043 Å
α = 65.45°, β = 85.52°, γ = 80.55°
Space group P-1 (No. 2)
Asymmetric unit:
1 Li 0.1965 0.3179 0.0606 x2
2 Li 0.2077 0.3700 0.4939 x2
3 Fe 0.3145 0.7746 0.2199 x2
4 P 0.2445 0.9526 0.7992 x2
5 P 0.2691 0.6352 0.6761 x2
6 O 0.0510 0.0342 0.1585 x2
7 O 0.0914 0.5419 0.8315 x2
8 O 0.1609 0.6536 0.5033 x2
9 O 0.2872 0.8670 0.6474 x2
10 O 0.3375 0.1611 0.7118 x2
11 O 0.4125 0.8061 0.9564 x2
12 O 0.4446 0.4686 0.2977 x2

=====

Energy relative to the most stable one, in meV/atom: w) 26; x) 0